Entry 1:
## LaTe2Cl (PBEsol)

Data for LaTe2Cl after structural relaxation.

a b c (Å): 11.2849 11.2849 11.2849
angles (deg): 17.53 17.53 17.53
Positions (direct):
La 0.0000 0.0000 0.0000
Te 0.0945 0.0945 0.0945
Te 0.9055 0.9055 0.9055
Cl 0.5000 0.5000 0.5000

Computed properties:
VASP energy, eV/atom: -3.54
SG: R-3m

=====

Entry 2:
## LaTeCl2 (PBEsol)

Data for LaTeCl2 after structural relaxation.

a b c (Å): 3.5204 3.5204 8.2920
angles (deg): 90.00 90.00 90.00
Positions (direct):
La 0.0000 0.0000 0.0000
Te 0.0000 0.0000 0.5000
Cl 0.5000 0.5000 0.1823
Cl 0.5000 0.5000 0.8177

Computed properties:
SG: P4/mmm
Offset from the most stable computed form, meV per atom: 0

=====

no.,calculated volume (Å³ per atom)
1,28.4
2,25.7